# 1
The following is a DFT calculation (PBE) of a relaxed K2AcPrS4 crystal.

Cell: 7.511 4.333 7.818 Å, 90.00 108.61 90.00°
Element x y z (fractional)
K  0.000  0.000  0.000
K  0.500  0.500  0.000
Ac  0.000  0.500  0.500
Pr  0.500  0.000  0.500
S  0.246  0.000  0.713
S  0.272  0.500  0.291
S  0.728  0.500  0.709
S  0.754  0.000  0.287

## Properties
Space-group type ... P2/m, No. 10
Formation energy from raw total energies ... -1.863 eV/atom
Electronic total energy ... -42.5 eV per formula unit
Magnetic moment ... 0.0 Bohr magnetons per cell


# 2
The following is a DFT calculation (PBE) of a relaxed Ti2VGaN crystal.

Cell: 4.189 4.189 3.822 Å, 90.00 90.00 90.00°
Element x y z (fractional)
Ti  0.000  0.500  0.000
Ti  0.500  0.000  0.000
V  0.000  0.000  0.500
Ga  0.500  0.500  0.500
N  0.000  0.000  0.000

## Properties
Space-group type ... P4/mmm, No. 123
Formation energy from raw total energies ... -0.851 eV/atom
Electronic total energy ... -40.5 eV per formula unit
Magnetic moment ... 0.2 Bohr magnetons per cell
ΔE to the lowest computed polymorph ... 0 meV per atom


# 3
The following is a DFT calculation (PBE) of a relaxed TbNd2HoP4 crystal.

Cell: 7.078 4.091 7.081 Å, 90.00 109.47 90.00°
Element x y z (fractional)
Tb  0.000  0.000  0.000
Nd  0.500  0.000  0.500
Nd  0.500  0.500  0.000
Ho  0.000  0.500  0.500
P  0.240  0.000  0.746
P  0.241  0.500  0.248
P  0.759  0.500  0.752
P  0.760  0.000  0.254

## Properties
Space-group type ... P2/m, No. 10
Electronic total energy ... -52.9 eV per formula unit
Formation energy from the elements ... -1211 kJ/mol of formula units
Magnetic moment ... 0.0 Bohr magnetons per cell


# 4
The following is a DFT calculation (PBE) of a relaxed NiBrCl2 crystal.

Cell: 10.601 10.601 10.601 Å, 18.33 18.33 18.33°
Element x y z (fractional)
Ni  0.000  0.000  0.000
Br  0.500  0.500  0.500
Cl  0.290  0.290  0.290
Cl  0.710  0.710  0.710

## Properties
Space-group type ... R-3m, No. 166
Formation energy from raw total energies ... -0.274 eV/atom
Electronic total energy ... -12.2 eV per formula unit
Magnetic moment ... 2.3 Bohr magnetons per cell
ΔE to the lowest computed polymorph ... 114 meV per atom


# 5
The following is a DFT calculation (PBE) of a relaxed YHg crystal.

Cell: 6.050 6.050 6.205 Å, 90.00 90.00 90.00°
Element x y z (fractional)
Y  0.206  0.206  0.000
Y  0.294  0.706  0.500
Y  0.706  0.294  0.500
Y  0.794  0.794  0.000
Hg  0.197  0.197  0.500
Hg  0.303  0.697  0.000
Hg  0.697  0.303  0.000
Hg  0.803  0.803  0.500

## Properties
Space-group type ... P4_2/mnm, No. 136
Electronic total energy ... -7.4 eV per formula unit
Formation energy from the elements ... -61 kJ/mol of formula units
Magnetic moment ... 0.0 Bohr magnetons per cell


# 6
The following is a DFT calculation (PBE) of a relaxed Dy4Bi2H crystal.

Cell: 6.330 6.471 9.204 Å, 90.00 107.92 90.00°
Element x y z (fractional)
Dy  0.041  0.001  0.306
Dy  0.041  0.499  0.306
Dy  0.351  0.750  0.051
Dy  0.431  0.750  0.665
Dy  0.569  0.250  0.335
Dy  0.649  0.250  0.949
Dy  0.959  0.501  0.694
Dy  0.959  0.999  0.694
Bi  0.191  0.250  0.023
Bi  0.365  0.250  0.607
Bi  0.635  0.750  0.393
Bi  0.809  0.750  0.977
H  0.199  0.750  0.799
H  0.801  0.250  0.201

## Properties
Space-group type ... P2_1/m, No. 11
Electronic total energy ... -33.7 eV per formula unit
Magnetic moment ... 0.0 Bohr magnetons per cell


- Which of these has the lowest electronic total energy?
  TbNd2HoP4


- Which value of electronic total energy does entry 5 give?
  -7.4 eV per formula unit


- The lowest electronic total energy belongs to which entry?
  TbNd2HoP4